Compound: SmCu2Cl6
Source: Alexandria
Functional: GGA-PBE
Structure: relaxed

Cell lengths 6.655, 9.187, 9.187 Å; angles 82.88, 79.44, 79.44 degrees
Fractional positions:
Cl: 0.640 0.626 0.117
Cl: 0.137 0.824 0.951
Cl: 0.050 0.450 0.295
Cl: 0.363 0.049 0.176
Cl: 0.637 0.951 0.824
Cl: 0.860 0.883 0.374
Cl: 0.140 0.117 0.626
Cl: 0.550 0.295 0.450
Cl: 0.863 0.176 0.049
Cl: 0.450 0.705 0.550
Cl: 0.360 0.374 0.883
Cl: 0.950 0.550 0.705
Cu: 0.287 0.551 0.705
Cu: 0.787 0.705 0.551
Cu: 0.713 0.449 0.295
Cu: 0.213 0.295 0.449
Sm: 0.750 0.897 0.103
Sm: 0.250 0.103 0.897

Calculated values
- Spin magnetization: 0.0 μB/cell
- Crystal system: monoclinic
- DOS(E_F): 4.22 states/eV/f.u.
- Raw formation energy: -1.255 eV/atom
- Space-group type: C2/c, No. 15

=====

Compound: Sm2CuCl
Source: Alexandria
Functional: GGA-PBE
Structure: relaxed

Cell lengths 3.393, 3.393, 8.075 Å; angles 90.00, 90.00, 90.00 degrees
Fractional positions:
Cu: 0.500 0.500 0.000
Cl: 0.500 0.500 0.500
Sm: 0.000 0.000 0.775
Sm: 0.000 0.000 0.225

Calculated values
- Polymorph energy (0 for the lowest one): 0.1112 eV/atom
- Spin magnetization: 0.0 μB/cell
- Crystal system: tetragonal
- DOS(E_F): 3.43 states/eV/f.u.
- Raw formation energy: -0.652 eV/atom
- Space-group type: P4/mmm, No. 123

=====

Compound: SmCu3Cl9
Source: Alexandria
Functional: GGA-PBE
Structure: relaxed

Cell lengths 7.550, 10.171, 11.463 Å; angles 75.95, 70.77, 68.21 degrees
Last column: magnetic moment on the atom in μB.
Fractional positions:
Sm: 0.008 0.501 0.996  0.00
Sm: 0.495 0.001 0.496  0.00
Cl: 0.863 0.913 0.341  0.06
Cl: 0.884 0.413 0.841  0.06
Cl: 0.113 0.716 0.826  0.05
Cl: 0.108 0.481 0.540  0.16
Cl: 0.872 0.981 0.040  0.16
Cl: 0.071 0.570 0.188  0.02
Cl: 0.171 0.070 0.688  0.02
Cl: 0.365 0.828 0.417  -0.03
Cl: 0.390 0.328 0.917  -0.03
Cl: 0.325 0.983 0.138  0.02
Cl: 0.628 0.696 0.038  -0.04
Cl: 0.662 0.034 0.811  0.03
Cl: 0.345 0.216 0.326  0.05
Cl: 0.493 0.534 0.311  0.03
Cl: 0.638 0.196 0.538  -0.04
Cl: 0.655 0.778 0.658  0.06
Cl: 0.553 0.483 0.638  0.02
Cl: 0.909 0.278 0.158  0.06
Cu: 0.799 0.540 0.662  0.39
Cu: 0.555 0.262 0.726  -0.17
Cu: 0.000 0.040 0.162  0.39
Cu: 0.968 0.954 0.838  0.36
Cu: 0.457 0.762 0.226  -0.17
Cu: 0.239 0.454 0.338  0.36

Calculated values
- Spin magnetization: 2.0 μB/cell
- Crystal system: monoclinic
- DOS(E_F): 7.06 states/eV/f.u.
- Raw formation energy: -0.962 eV/atom
- Space-group type: Cc, No. 9

=====

Compound: SmCuCl4
Source: Alexandria
Functional: GGA-PBE
Structure: relaxed

Cell lengths 6.981, 7.243, 9.140 Å; angles 104.05, 102.87, 113.68 degrees
Last column: magnetic moment on the atom in μB.
Fractional positions:
Cl: 0.981 0.183 0.908  0.00
Cl: 0.573 0.275 0.092  0.00
Cl: 0.704 0.972 0.385  0.01
Cl: 0.427 0.725 0.908  0.00
Cl: 0.019 0.817 0.092  0.00
Cl: 0.819 0.587 0.615  0.01
Cl: 0.296 0.028 0.615  0.01
Cl: 0.181 0.413 0.385  0.01
Cu: 0.567 0.317 0.635  0.16
Cu: 0.433 0.683 0.365  0.16
Sm: 0.181 0.931 0.863  0.00
Sm: 0.819 0.069 0.137  0.00

Calculated values
- Spin magnetization: 0.4 μB/cell
- Crystal system: monoclinic
- DOS(E_F): 0.00 states/eV/f.u.
- Raw formation energy: -1.619 eV/atom
- Space-group type: C2/c, No. 15

=====

Compound: SmCu2Cl8
Source: Alexandria
Functional: GGA-PBE
Structure: relaxed

Cell lengths 6.740, 6.740, 7.615 Å; angles 116.27, 116.27, 90.00 degrees
Fractional positions:
Cu: 0.750 0.250 0.500
Cu: 0.250 0.750 0.500
Cl: 0.945 0.785 0.238
Cl: 0.055 0.548 0.762
Cl: 0.785 0.293 0.238
Cl: 0.707 0.215 0.762
Cl: 0.452 0.945 0.238
Cl: 0.548 0.707 0.762
Cl: 0.215 0.055 0.762
Cl: 0.293 0.452 0.238
Sm: 0.500 0.500 0.000

Calculated values
- Spin magnetization: 0.2 μB/cell
- Crystal system: tetragonal
- DOS(E_F): 5.17 states/eV/f.u.
- Raw formation energy: -1.013 eV/atom
- Space-group type: I422, No. 97

=====

Compound: Sm2CuCl
Source: Alexandria
Functional: GGA-PBE
Structure: relaxed

Cell lengths 4.088, 4.088, 7.237 Å; angles 73.60, 73.60, 60.00 degrees
Fractional positions:
Cu: 0.000 0.000 0.000
Sm: 0.745 0.745 0.765
Sm: 0.255 0.255 0.235
Cl: 0.500 0.500 0.500

Calculated values
- Polymorph energy (0 for the lowest one): 0.0000 eV/atom
- Spin magnetization: 0.0 μB/cell
- Crystal system: trigonal
- DOS(E_F): 2.60 states/eV/f.u.
- Raw formation energy: -0.763 eV/atom
- Space-group type: R-3m, No. 166

=====

Number 1: V 30.03 Å³ per atom. Number 2: V 23.24 Å³ per atom. Number 3: V 29.40 Å³ per atom. Number 4: V 31.92 Å³ per atom. Number 5: V 24.53 Å³ per atom. Number 6: V 24.75 Å³ per atom.